(1)
Compound: CdAsSe2
Source: Alexandria
Functional: PBE
Structure: relaxed

abc: 6.2024 6.2024 4.0776
angles: 89.96 89.96 36.72
With the nearest neighbours (Å) after each atom.
Sites, in units of the cell vectors:
Se  0.7257  0.7257  0.6246  1 As 2.45
As  0.5174  0.5174  0.6256  1 Se 2.45
Cd  0.2605  0.2605  0.1245  5 Se 2.85-3.11
Se  0.9964  0.9964  0.1253  4 As 2.83-2.84, 1 Cd 3.11

Calculated values
Its total magnetization is 0.00 Bohr magnetons per cell. The calculation puts the energy relative to the elements, uncorrected at -125 meV/atom. As for the symmetry: No. 38.

(2)
Compound: CdAsSe2
Source: Alexandria
Functional: PBE
Structure: relaxed

abc: 6.4734 6.4734 6.4734
angles: 142.56 141.76 54.59
With the nearest neighbours (Å) after each atom.
Sites, in units of the cell vectors:
Cd  0.2500  0.7500  0.5000  4 Se 2.82, 4 As 2.97
Se  0.5880  0.5880  0.0000  2 As 2.79, 2 Cd 2.82
Se  0.9120  0.9120  0.0000  2 As 2.79, 2 Cd 2.82
As  0.7500  0.2500  0.5000  4 Se 2.79, 4 Cd 2.97

Calculated values
Its total magnetization is 0.00 Bohr magnetons per cell. The calculation puts the energy relative to the elements, uncorrected at 66 meV/atom. As for the symmetry: No. 71.

(3)
Compound: CdAs2Se2
Source: Alexandria
Functional: PBE
Structure: relaxed

abc: 3.7558 3.7558 8.4124
angles: 77.10 77.10 90.00
With the nearest neighbours (Å) after each atom.
Sites, in units of the cell vectors:
Se  0.4020  0.4020  0.1960  4 As 3.07, 4 Cd 3.08, 1 Se 3.13
Cd  0.0000  0.0000  0.0000  8 Se 3.08
As  0.7500  0.2500  0.5000  4 As 2.66
Se  0.5980  0.5980  0.8040  4 As 3.07, 4 Cd 3.08, 1 Se 3.13
As  0.2500  0.7500  0.5000  4 As 2.66

Calculated values
Its total magnetization is 0.00 Bohr magnetons per cell. The calculation puts the energy relative to the elements, uncorrected at 208 meV/atom. As for the symmetry: No. 139.

(4)
Compound: CdAsSe2
Source: Alexandria
Functional: PBE
Structure: relaxed

abc: 3.1485 3.1485 10.0286
angles: 90.00 90.00 111.43
With the nearest neighbours (Å) after each atom.
Sites, in units of the cell vectors:
Cd  0.5000  0.5000  0.7500  4 Cd 3.15, 4 Se 3.47
Se  0.0000  0.0000  0.4528  2 As 2.70
As  0.5000  0.5000  0.2500  4 Se 2.70
Se  0.0000  0.0000  0.0472  2 As 2.70

Calculated values
Its total magnetization is 0.00 Bohr magnetons per cell. The calculation puts the energy relative to the elements, uncorrected at 296 meV/atom. As for the symmetry: No. 65.

(5)
Compound: Cd3AsSe
Source: Alexandria
Functional: PBE
Structure: relaxed

abc: 7.7747 9.5792 9.5792
angles: 73.37 72.58 72.58
With the nearest neighbours (Å) after each atom.
Sites, in units of the cell vectors:
Cd  0.3731  0.3519  0.7359  1 Cd 2.72, 2 As 2.75-2.96, 1 Se 2.79
As  0.7500  0.9218  0.0782  6 Cd 2.68-2.96
Cd  0.6269  0.6481  0.2641  1 Cd 2.72, 2 As 2.75-2.96, 1 Se 2.79
Cd  0.3520  0.4050  0.3166  2 Se 2.64-2.70, 1 As 2.69
As  0.2500  0.0782  0.9218  6 Cd 2.68-2.96
Cd  0.8647  0.1777  0.9944  3 As 2.68-2.99, 1 Se 2.69
Cd  0.6480  0.5950  0.6834  2 Se 2.64-2.70, 1 As 2.69
Se  0.2885  0.6195  0.8312  4 Cd 2.64-2.79
Se  0.7115  0.3805  0.1688  4 Cd 2.64-2.79
Se  0.7885  0.8312  0.6195  4 Cd 2.64-2.79
Cd  0.1269  0.2641  0.6481  1 Cd 2.72, 2 As 2.75-2.96, 1 Se 2.79
Cd  0.8731  0.7359  0.3519  1 Cd 2.72, 2 As 2.75-2.96, 1 Se 2.79
Cd  0.1480  0.6834  0.5950  2 Se 2.64-2.70, 1 As 2.69
As  0.7500  0.2971  0.7029  6 Cd 2.69-2.99
Cd  0.6353  0.0056  0.8223  3 As 2.68-2.99, 1 Se 2.69
Cd  0.3647  0.9944  0.1777  3 As 2.68-2.99, 1 Se 2.69
As  0.2500  0.7029  0.2971  6 Cd 2.69-2.99
Cd  0.8520  0.3166  0.4050  2 Se 2.64-2.70, 1 As 2.69
Se  0.2115  0.1688  0.3805  4 Cd 2.64-2.79
Cd  0.1353  0.8223  0.0056  3 As 2.68-2.99, 1 Se 2.69

Calculated values
Its total magnetization is 0.00 Bohr magnetons per cell. The calculation puts the energy relative to the elements, uncorrected at -137 meV/atom. As for the symmetry: No. 15.

(6)
Compound: CdAsSe2
Source: Alexandria
Functional: PBE
Structure: relaxed

abc: 4.9309 4.9309 4.9309
angles: 60.00 60.00 60.00
With the nearest neighbours (Å) after each atom.
Sites, in units of the cell vectors:
Se  0.2500  0.2500  0.2500  4 Se 3.02, 4 As 3.02
Cd  0.7500  0.7500  0.7500  4 As 3.02, 4 Se 3.02
Se  0.0000  0.0000  0.0000  4 Cd 3.02, 4 Se 3.02
As  0.5000  0.5000  0.5000  4 Cd 3.02, 4 Se 3.02

Calculated values
Its total magnetization is 0.00 Bohr magnetons per cell. The calculation puts the energy relative to the elements, uncorrected at 395 meV/atom. As for the symmetry: No. 216.

(7)
Compound: CdAsSe2
Source: Alexandria
Functional: PBE
Structure: relaxed

abc: 3.4668 3.4668 7.0071
angles: 90.00 90.00 90.00
With the nearest neighbours (Å) after each atom.
Sites, in units of the cell vectors:
Se  0.0000  0.0000  0.0136  4 As 2.96, 4 Cd 3.07, 1 Se 3.31
Cd  0.5000  0.5000  0.7500  8 Se 3.07
Se  0.0000  0.0000  0.4864  4 As 2.96, 4 Cd 3.07, 1 Se 3.31
As  0.5000  0.5000  0.2500  8 Se 2.96

Calculated values
Its total magnetization is 0.00 Bohr magnetons per cell. The calculation puts the energy relative to the elements, uncorrected at 190 meV/atom. As for the symmetry: No. 123.

(8)
Compound: CdAsSe2
Source: Alexandria
Functional: PBE
Structure: relaxed

abc: 5.8262 3.9226 4.1248
angles: 90.00 90.00 90.00
With the nearest neighbours (Å) after each atom.
Sites, in units of the cell vectors:
Se  0.5000  0.3636  0.3748  4 Cd 2.80-2.89, 2 As 2.91
Cd  0.5000  0.8468  0.8746  6 Se 2.80-2.94
Se  0.0000  0.9507  0.8753  2 As 2.56
As  0.0000  0.3389  0.3753  2 Se 2.56

Calculated values
Its total magnetization is 0.00 Bohr magnetons per cell. The calculation puts the energy relative to the elements, uncorrected at -164 meV/atom. As for the symmetry: No. 25.

| no. | theoretical density (g/cm³) | distance to the lowest polymorph of the same formula (meV per atom) |
| --- | --- | --- |
| 1 | 6.1 | 39.4 |
| 2 | 5.7 | 230.3 |
| 3 | 6.2 | 150.1 |
| 4 | 6.2 | 459.9 |
| 5 | 5.1 | 0.0 |
| 6 | 6.8 | 558.7 |
| 7 | 6.8 | 354.1 |
| 8 | 6.1 | 0.0 |